[1]
Density functional theory data (GGA-PBEsol) for a geometry-optimized LaYMg3 structure.

Lattice parameters (Å, degrees): 5.4916 5.4916 5.4916 90.00 90.00 90.00
Element x y z (fractional)
La: 0.0000 0.0000 0.0000
Y: 0.5000 0.5000 0.5000
Mg: 0.0000 0.5000 0.5000
Mg: 0.5000 0.0000 0.5000
Mg: 0.5000 0.5000 0.0000

Properties
ΔH_f (0 K)   0.7165 eV per atom


[2]
Density functional theory data (GGA-PBEsol) for a geometry-optimized La2YMg structure.

Lattice parameters (Å, degrees): 3.5623 4.8668 7.0154 90.00 90.06 90.00
Element x y z (fractional)
La: 0.0000 0.0000 0.0000
La: 0.5001 0.5000 0.2468
Y: 0.4990 0.5000 0.7328
Mg: 0.9993 0.0000 0.5044

Properties
ΔH_f (0 K)   0.0011 eV per atom


[3]
Density functional theory data (GGA-PBEsol) for a geometry-optimized LaYMg structure.

Lattice parameters (Å, degrees): 6.9392 6.9392 6.9392 148.73 148.73 44.81
Element x y z (fractional)
La: 0.0000 0.0000 0.0000
Y: 0.3149 0.3149 0.0000
Mg: 0.6666 0.6666 0.0000

Properties
ΔH_f (0 K)   -0.0356 eV per atom


[4]
Density functional theory data (GGA-PBEsol) for a geometry-optimized LaMg2Zn structure.

Lattice parameters (Å, degrees): 5.0799 5.0799 5.0799 60.00 60.00 60.00
Element x y z (fractional)
La: 0.0000 0.0000 0.0000
Mg: 0.2500 0.2500 0.2500
Mg: 0.5000 0.5000 0.5000
Zn: 0.7500 0.7500 0.7500

Properties
ΔH_f (0 K)   -0.1927 eV per atom


[5]
Density functional theory data (GGA-PBEsol) for a geometry-optimized LaMg4Zn structure.

Lattice parameters (Å, degrees): 5.9187 5.9187 5.9187 60.00 60.00 60.00
Element x y z (fractional)
La: 0.0000 0.0000 0.0000
Mg: 0.3752 0.3752 0.3752
Mg: 0.3752 0.3752 0.8743
Mg: 0.3752 0.8743 0.3752
Mg: 0.8743 0.3752 0.3752
Zn: 0.7500 0.7500 0.7500

Properties
ΔH_f (0 K)   0.0972 eV per atom


[6]
Density functional theory data (GGA-PBEsol) for a geometry-optimized LaMgZr2 structure.

Lattice parameters (Å, degrees): 5.7079 5.7079 5.7079 133.12 133.12 68.46
Element x y z (fractional)
La: 0.0000 0.0000 0.0000
Mg: 0.5000 0.5000 0.0000
Zr: 0.2500 0.7500 0.5000
Zr: 0.7500 0.2500 0.5000

Properties
ΔH_f (0 K)   0.1698 eV per atom


[7]
Density functional theory data (GGA-PBEsol) for a geometry-optimized LaMg2Zr structure.

Lattice parameters (Å, degrees): 5.2119 5.2119 5.2119 60.00 60.00 60.00
Element x y z (fractional)
La: 0.0000 0.0000 0.0000
Mg: 0.2500 0.2500 0.2500
Mg: 0.7500 0.7500 0.7500
Zr: 0.5000 0.5000 0.5000

Properties
ΔH_f (0 K)   0.0906 eV per atom


[8]
Density functional theory data (GGA-PBEsol) for a geometry-optimized LaMgZr2 structure.

Lattice parameters (Å, degrees): 3.0927 3.0927 11.2416 90.00 90.00 116.64
Element x y z (fractional)
La: 0.0000 0.0000 0.0000
Mg: 0.0000 0.0000 0.5000
Zr: 0.5000 0.5000 0.2598
Zr: 0.5000 0.5000 0.7402

Properties
ΔH_f (0 K)   0.2057 eV per atom


[9]
Density functional theory data (GGA-PBEsol) for a geometry-optimized LaMgZr2 structure.

Lattice parameters (Å, degrees): 3.3500 5.2790 5.5183 90.00 90.00 90.00
Element x y z (fractional)
La: 0.0000 0.0000 0.0000
Mg: 0.5000 0.0000 0.5000
Zr: 0.0000 0.5000 0.5000
Zr: 0.5000 0.5000 0.0000

Properties
ΔH_f (0 K)   0.1722 eV per atom


[10]
Density functional theory data (GGA-PBEsol) for a geometry-optimized LaMgZr2 structure.

Lattice parameters (Å, degrees): 3.2076 3.2076 9.7412 90.00 90.00 90.00
Element x y z (fractional)
La: 0.0000 0.0000 0.0000
Mg: 0.5000 0.5000 0.2753
Zr: 0.0000 0.0000 0.5110
Zr: 0.5000 0.5000 0.7290

Properties
ΔH_f (0 K)   0.0457 eV per atom


[11]
Density functional theory data (GGA-PBEsol) for a geometry-optimized LaMg2Zr structure.

Lattice parameters (Å, degrees): 5.7944 5.7944 3.1635 90.00 90.00 112.73
Element x y z (fractional)
La: 0.0000 0.0000 0.0000
Mg: 0.0000 0.5000 0.5000
Mg: 0.5000 0.0000 0.5000
Zr: 0.5000 0.5000 0.0000

Properties
ΔH_f (0 K)   0.0904 eV per atom


[12]
Density functional theory data (GGA-PBEsol) for a geometry-optimized La2MnMo structure.

Lattice parameters (Å, degrees): 4.9196 4.9196 4.9196 60.00 60.00 60.00
Element x y z (fractional)
La: 0.0000 0.0000 0.0000
La: 0.2500 0.2500 0.2500
Mn: 0.7500 0.7500 0.7500
Mo: 0.5000 0.5000 0.5000

Properties
ΔH_f (0 K)   0.6249 eV per atom


[13]
Density functional theory data (GGA-PBEsol) for a geometry-optimized LaMn2Mo structure.

Lattice parameters (Å, degrees): 3.3865 4.4603 4.4772 90.00 90.00 90.00
Element x y z (fractional)
La: 0.0000 0.0000 0.0000
Mn: 0.0000 0.5000 0.5000
Mn: 0.5000 0.0000 0.5000
Mo: 0.5000 0.5000 0.0000

Properties
ΔH_f (0 K)   0.7890 eV per atom
Offset from the most stable computed form   28 meV/atom


[14]
Density functional theory data (GGA-PBEsol) for a geometry-optimized LaMnMo3 structure.

Lattice parameters (Å, degrees): 4.5695 4.5695 4.5695 90.00 90.00 90.00
Element x y z (fractional)
La: 0.0000 0.0000 0.0000
Mn: 0.5000 0.5000 0.5000
Mo: 0.0000 0.5000 0.5000
Mo: 0.5000 0.0000 0.5000
Mo: 0.5000 0.5000 0.0000

Properties
ΔH_f (0 K)   0.8556 eV per atom


[15]
Density functional theory data (GGA-PBEsol) for a geometry-optimized LaMn2Mo structure.

Lattice parameters (Å, degrees): 5.3219 5.3219 5.3219 143.19 127.90 65.48
Element x y z (fractional)
La: 0.0000 0.0000 0.0000
Mn: 0.2718 0.7718 0.5000
Mn: 0.7282 0.2282 0.5000
Mo: 0.5000 0.5000 0.0000

Properties
ΔH_f (0 K)   0.7607 eV per atom
Offset from the most stable computed form   0 meV/atom


[16]
Density functional theory data (GGA-PBEsol) for a geometry-optimized La2MnMoPd structure.

Lattice parameters (Å, degrees): 5.3712 5.3712 4.7506 90.00 90.00 90.00
Element x y z (fractional)
La: 0.0000 0.5000 0.0000
La: 0.5000 0.0000 0.0000
Mn: 0.0000 0.0000 0.5000
Mo: 0.5000 0.5000 0.0000
Pd: 0.5000 0.5000 0.5000

Properties
ΔH_f (0 K)   0.7858 eV per atom


[17]
Density functional theory data (GGA-PBEsol) for a geometry-optimized LaMnN2 structure.

Lattice parameters (Å, degrees): 5.9434 5.9434 5.9434 133.03 133.03 68.61
Element x y z (fractional)
La: 0.0000 0.0000 0.0000
La: 0.7500 0.2500 0.5000
Mn: 0.2500 0.7500 0.5000
Mn: 0.5000 0.5000 0.0000
N: 0.2537 0.6250 0.1287
N: 0.3750 0.5037 0.6287
N: 0.4963 0.1250 0.8713
N: 0.8750 0.7463 0.3713

Properties
E_form (uncorrected)   -788 meV/atom


[18]
Density functional theory data (GGA-PBEsol) for a geometry-optimized LaMnSe2N structure.

Lattice parameters (Å, degrees): 5.7350 5.7350 4.0610 90.00 90.00 90.00
Element x y z (fractional)
La: 0.0000 0.0000 0.0000
Mn: 0.5000 0.5000 0.5000
Se: 0.0000 0.5000 0.0000
Se: 0.5000 0.0000 0.0000
N: 0.0000 0.0000 0.5000

Properties
E_form (uncorrected)   466 meV/atom


[19]
Density functional theory data (GGA-PBEsol) for a geometry-optimized Na2LaMn structure.

Lattice parameters (Å, degrees): 5.3622 5.3622 5.3622 60.00 60.00 60.00
Element x y z (fractional)
Na: 0.2500 0.2500 0.2500
Na: 0.7500 0.7500 0.7500
La: 0.0000 0.0000 0.0000
Mn: 0.5000 0.5000 0.5000

Properties
ΔH_f (0 K)   0.7652 eV per atom


[20]
Density functional theory data (GGA-PBEsol) for a geometry-optimized NaLa3Mn structure.

Lattice parameters (Å, degrees): 5.3439 5.3439 5.3439 90.00 90.00 90.00
Element x y z (fractional)
Na: 0.0000 0.0000 0.0000
La: 0.0000 0.5000 0.5000
La: 0.5000 0.0000 0.5000
La: 0.5000 0.5000 0.0000
Mn: 0.5000 0.5000 0.5000

Properties
ΔH_f (0 K)   0.2219 eV per atom


[21]
Density functional theory data (GGA-PBEsol) for a geometry-optimized NaLaMnS2 structure.

Lattice parameters (Å, degrees): 4.9051 4.9051 4.4685 90.00 90.00 90.00
Element x y z (fractional)
Na: 0.0000 0.0000 0.0000
La: 0.5000 0.5000 0.5000
Mn: 0.0000 0.0000 0.5000
S: 0.0000 0.5000 0.0000
S: 0.5000 0.0000 0.0000

Properties
E_form (uncorrected)   -85 meV/atom


[22]
Density functional theory data (GGA-PBEsol) for a geometry-optimized LaMn2Nb structure.

Lattice parameters (Å, degrees): 4.6070 4.6070 4.6070 60.00 60.00 60.00
Element x y z (fractional)
La: 0.0000 0.0000 0.0000
Mn: 0.2500 0.2500 0.2500
Mn: 0.7500 0.7500 0.7500
Nb: 0.5000 0.5000 0.5000

Properties
ΔH_f (0 K)   0.5291 eV per atom


[23]
Density functional theory data (GGA-PBEsol) for a geometry-optimized La2MnNi structure.

Lattice parameters (Å, degrees): 5.7057 5.7057 5.7057 137.63 137.63 61.47
Element x y z (fractional)
La: 0.0000 0.0000 0.0000
La: 0.7500 0.2500 0.5000
Mn: 0.5000 0.5000 0.0000
Ni: 0.2500 0.7500 0.5000

Properties
ΔH_f (0 K)   0.2551 eV per atom


[24]
Density functional theory data (GGA-PBEsol) for a geometry-optimized La2MnNi structure.

Lattice parameters (Å, degrees): 4.8318 4.8318 4.8318 60.00 60.00 60.00
Element x y z (fractional)
La: 0.0000 0.0000 0.0000
La: 0.2500 0.2500 0.2500
Mn: 0.7500 0.7500 0.7500
Ni: 0.5000 0.5000 0.5000

Properties
ΔH_f (0 K)   0.2336 eV per atom


[25]
Density functional theory data (GGA-PBEsol) for a geometry-optimized La2MnNi structure.

Lattice parameters (Å, degrees): 8.2423 8.2423 8.2423 26.11 26.11 26.11
Element x y z (fractional)
La: 0.2414 0.2414 0.2414
La: 0.7586 0.7586 0.7586
Mn: 0.0000 0.0000 0.0000
Ni: 0.5000 0.5000 0.5000

Properties
ΔH_f (0 K)   0.3030 eV per atom


[26]
Density functional theory data (GGA-PBEsol) for a geometry-optimized LaMnNi structure.

Lattice parameters (Å, degrees): 4.3779 4.3779 4.3779 60.00 60.00 60.00
Element x y z (fractional)
La: 0.0000 0.0000 0.0000
Mn: 0.2500 0.2500 0.2500
Ni: 0.7500 0.7500 0.7500

Properties
ΔH_f (0 K)   0.9684 eV per atom


[27]
Density functional theory data (GGA-PBEsol) for a geometry-optimized LaMnNi3 structure.

Lattice parameters (Å, degrees): 4.6171 4.6171 4.6171 90.00 90.00 90.00
Element x y z (fractional)
La: 0.0000 0.0000 0.0000
Mn: 0.5000 0.5000 0.5000
Ni: 0.0000 0.0000 0.5000
Ni: 0.0000 0.5000 0.0000
Ni: 0.5000 0.0000 0.0000

Properties
ΔH_f (0 K)   1.4471 eV per atom


[28]
Density functional theory data (GGA-PBEsol) for a geometry-optimized La2MnNiO6 structure.

Lattice parameters (Å, degrees): 5.4536 5.4057 9.3878 90.00 125.40 90.00
Element x y z (fractional)
La: 0.2459 0.0238 0.2504
La: 0.2459 0.4762 0.7504
La: 0.7541 0.5238 0.2496
La: 0.7541 0.9762 0.7496
Mn: 0.0000 0.0000 0.5000
Mn: 0.0000 0.5000 0.0000
Ni: 0.5000 0.0000 0.0000
Ni: 0.5000 0.5000 0.5000
O: 0.1840 0.2297 0.9652
O: 0.1840 0.2703 0.4652
O: 0.2338 0.7200 0.9654
O: 0.2338 0.7800 0.4654
O: 0.3089 0.0063 0.7442
O: 0.3089 0.4937 0.2442
O: 0.6911 0.5063 0.7558
O: 0.6911 0.9937 0.2558
O: 0.7662 0.2200 0.5346
O: 0.7662 0.2800 0.0346
O: 0.8160 0.7297 0.5348
O: 0.8160 0.7703 0.0348

Properties
E_form (uncorrected)   -2494 meV/atom


[29]
Density functional theory data (GGA-PBEsol) for a geometry-optimized LaMn2NiOs structure.

Lattice parameters (Å, degrees): 4.5734 4.5734 4.6783 90.00 90.00 90.00
Element x y z (fractional)
La: 0.0000 0.0000 0.0000
Mn: 0.0000 0.5000 0.5000
Mn: 0.5000 0.0000 0.5000
Ni: 0.5000 0.5000 0.0000
Os: 0.5000 0.5000 0.5000

Properties
ΔH_f (0 K)   0.7093 eV per atom


| no. | raw total energy (eV for the cell shown) | spin magnetization (μB/cell) |
| --- | --- | --- |
| 1 | -13.74 | 0.0 |
| 2 | -19.23 | 0.0 |
| 3 | -13.99 | 0.0 |
| 4 | -11.13 | 0.0 |
| 5 | -13.21 | 0.0 |
| 6 | -24.56 | 0.0 |
| 7 | -17.51 | 0.0 |
| 8 | -24.42 | 0.0 |
| 9 | -24.55 | 0.0 |
| 10 | -25.06 | 0.0 |
| 11 | -17.51 | 0.0 |
| 12 | -29.72 | 3.1 |
| 13 | -33.48 | 5.9 |
| 14 | -46.13 | 1.7 |
| 15 | -33.59 | 6.1 |
| 16 | -34.25 | 4.5 |
| 17 | -70.63 | 0.0 |
| 18 | -29.00 | 4.1 |
| 19 | -14.85 | 4.4 |
| 20 | -26.09 | 0.4 |
| 21 | -25.70 | 4.6 |
| 22 | -33.57 | 2.8 |
| 23 | -25.59 | 2.6 |
| 24 | -25.68 | 3.7 |
| 25 | -25.40 | 3.2 |
| 26 | -18.36 | 2.6 |
| 27 | -26.34 | 4.3 |
| 28 | -166.10 | 10.0 |
| 29 | -39.70 | 5.4 |